[1]
ZnRe2Mo: relaxed, PBE.

Properties
**Theoretical density**: 14.847 g/cm3
**ΔE_f**: 263.7 meV/atom

```
data_ZnRe2Mo
_cell_length_a 3.2098
_cell_length_b 3.2098
_cell_length_c 5.7946
_cell_angle_alpha 90.00
_cell_angle_beta 90.00
_cell_angle_gamma 90.00
_space_group_name_H-M_alt 'P 4 m m'
_space_group_IT_number 99
loop_
_space_group_symop_operation_xyz
'x,y,z'
'-y,x,z'
'-x,-y,z'
'y,-x,z'
'-x,y,z'
'y,x,z'
'x,-y,z'
'-y,-x,z'
loop_
_atom_site_label
_atom_site_fract_x
_atom_site_fract_y
_atom_site_fract_z
Zn1 0.0000 0.0000 0.0000
Re1 0.0000 0.0000 0.5014
Re2 0.5000 0.5000 0.7616
Mo1 0.5000 0.5000 0.2451
```


[2]
ZnReMo3: relaxed, PBE.

Properties
**Theoretical density**: 10.032 g/cm3
**ΔE_f**: 1869.4 meV/atom

```
data_ZnReMo3
_cell_length_a 4.4695
_cell_length_b 4.4695
_cell_length_c 4.4695
_cell_angle_alpha 90.00
_cell_angle_beta 90.00
_cell_angle_gamma 90.00
_space_group_name_H-M_alt 'P m -3 m'
_space_group_IT_number 221
_space_group_name_Hall '-P 4 2 3'
loop_
_atom_site_label
_atom_site_fract_x
_atom_site_fract_y
_atom_site_fract_z
Zn1 0.0000 0.0000 0.0000
Re1 0.5000 0.5000 0.5000
Mo1 0.0000 0.0000 0.5000
```


[3]
ZnRe2Mo: relaxed, PBE.

Properties
**Theoretical density**: 14.572 g/cm3
**ΔE_f**: 126.2 meV/atom

```
data_ZnRe2Mo
_cell_length_a 2.7781
_cell_length_b 2.7781
_cell_length_c 27.3020
_cell_angle_alpha 90.00
_cell_angle_beta 90.00
_cell_angle_gamma 120.00
_space_group_name_H-M_alt 'R 3 m'
_space_group_IT_number 160
_space_group_name_Hall 'R 3 -2"'
loop_
_atom_site_label
_atom_site_fract_x
_atom_site_fract_y
_atom_site_fract_z
Zn1 0.0000 0.0000 0.0000
Re1 0.0000 0.0000 0.2494
Re2 0.0000 0.0000 0.5039
Mo1 0.0000 0.0000 0.7516
```


[4]
ZnRe2Mo: relaxed, PBE.

Properties
**Theoretical density**: 14.823 g/cm3
**ΔE_f**: 164.3 meV/atom

```
data_ZnRe2Mo
_cell_length_a 2.7525
_cell_length_b 4.0669
_cell_length_c 5.3417
_cell_angle_alpha 90.00
_cell_angle_beta 90.00
_cell_angle_gamma 90.00
_space_group_name_H-M_alt 'P m m 2'
_space_group_IT_number 25
loop_
_space_group_symop_operation_xyz
'x,y,z'
'-x,-y,z'
'-x,y,z'
'x,-y,z'
loop_
_atom_site_label
_atom_site_fract_x
_atom_site_fract_y
_atom_site_fract_z
Zn1 0.0000 0.0000 0.0000
Re1 0.0000 0.0000 0.5051
Re2 0.5000 0.5000 0.7440
Mo1 0.5000 0.5000 0.2454
```


[5]
ZnRe2Mo: relaxed, PBE.

Properties
**Theoretical density**: 14.859 g/cm3
**ΔE_f**: 234.9 meV/atom

```
data_ZnRe2Mo
_cell_length_a 3.2181
_cell_length_b 3.2181
_cell_length_c 5.7601
_cell_angle_alpha 90.00
_cell_angle_beta 90.00
_cell_angle_gamma 90.00
_space_group_name_H-M_alt 'P 4/m m m'
_space_group_IT_number 123
_space_group_name_Hall '-P 4 2'
loop_
_atom_site_label
_atom_site_fract_x
_atom_site_fract_y
_atom_site_fract_z
Zn1 0.0000 0.0000 0.0000
Re1 0.5000 0.5000 0.2411
Mo1 0.0000 0.0000 0.5000
```


[6]
Zn2ReMo: relaxed, PBE.

Properties
**Theoretical density**: 11.537 g/cm3
**ΔE_f**: 194.4 meV/atom

```
data_Zn2ReMo
_cell_length_a 2.6476
_cell_length_b 4.3971
_cell_length_c 5.2467
_cell_angle_alpha 90.00
_cell_angle_beta 103.32
_cell_angle_gamma 90.00
_space_group_name_H-M_alt 'P 1 2/m 1'
_space_group_IT_number 10
loop_
_space_group_symop_operation_xyz
'x,y,z'
'-x,-y,-z'
'-x,y,-z'
'x,-y,z'
loop_
_atom_site_label
_atom_site_fract_x
_atom_site_fract_y
_atom_site_fract_z
Zn1 0.2195 0.0000 0.2517
Re1 0.0000 0.5000 0.5000
Mo1 0.5000 0.5000 0.0000
```


[7]
Zn3ReMo: relaxed, PBE.

Properties
**Theoretical density**: 7.449 g/cm3
**ΔE_f**: 1468.3 meV/atom

```
data_Zn3ReMo
_cell_length_a 4.7421
_cell_length_b 4.7421
_cell_length_c 4.7421
_cell_angle_alpha 90.00
_cell_angle_beta 90.00
_cell_angle_gamma 90.00
_space_group_name_H-M_alt 'P m -3 m'
_space_group_IT_number 221
_space_group_name_Hall '-P 4 2 3'
loop_
_atom_site_label
_atom_site_fract_x
_atom_site_fract_y
_atom_site_fract_z
Zn1 0.0000 0.0000 0.5000
Re1 0.0000 0.0000 0.0000
Mo1 0.5000 0.5000 0.5000
```


[8]
ZnRe2Mo: relaxed, PBE.

Properties
**Theoretical density**: 13.103 g/cm3
**ΔE_f**: 940.5 meV/atom

```
data_ZnRe2Mo
_cell_length_a 7.1752
_cell_length_b 7.1752
_cell_length_c 5.2555
_cell_angle_alpha 90.00
_cell_angle_beta 90.00
_cell_angle_gamma 90.00
_space_group_name_H-M_alt 'I -4 2 d'
_space_group_IT_number 122
_space_group_name_Hall 'I -4 2bw'
loop_
_atom_site_label
_atom_site_fract_x
_atom_site_fract_y
_atom_site_fract_z
Zn1 0.0000 0.0000 0.0000
Re1 0.2230 0.7500 0.6250
Mo1 0.0000 0.0000 0.5000
```


What is the theoretical density in the seventh record? 7.449 g/cm3


Which of these has the lowest theoretical density? Zn3ReMo


Which of these has the highest theoretical density? number 5


Repeat the fifth record exactly.
ZnRe2Mo: relaxed, PBE.

Properties
**Theoretical density**: 14.859 g/cm3
**ΔE_f**: 234.9 meV/atom

```
data_ZnRe2Mo
_cell_length_a 3.2181
_cell_length_b 3.2181
_cell_length_c 5.7601
_cell_angle_alpha 90.00
_cell_angle_beta 90.00
_cell_angle_gamma 90.00
_space_group_name_H-M_alt 'P 4/m m m'
_space_group_IT_number 123
_space_group_name_Hall '-P 4 2'
loop_
_atom_site_label
_atom_site_fract_x
_atom_site_fract_y
_atom_site_fract_z
Zn1 0.0000 0.0000 0.0000
Re1 0.5000 0.5000 0.2411
Mo1 0.0000 0.0000 0.5000
```